Material: BeCdHg
Method: DFT, PBE
State: relaxed

* volume: 18.80 A^3/atom
* DFT total energy: -4.1 eV per cell

a b c (Å): 4.304 4.304 4.304
angles (deg): 60.00 60.00 60.00
Sites, in units of the cell vectors:
Be1 0.000 0.000 0.000
Cd1 0.750 0.750 0.750
Hg1 0.250 0.250 0.250

=====

Material: BeCdIn2
Method: DFT, PBE
State: relaxed

* volume: 21.90 A^3/atom
* DFT total energy: -8.2 eV per cell

a b c (Å): 4.985 4.985 4.985
angles (deg): 60.00 60.00 60.00
Sites, in units of the cell vectors:
Be1 0.000 0.000 0.000
Cd1 0.250 0.250 0.250
In1 0.500 0.500 0.500
In2 0.750 0.750 0.750

=====

Material: BeCdInNi
Method: DFT, PBE
State: relaxed

* volume: 15.33 A^3/atom
* DFT total energy: -12.1 eV per cell

a b c (Å): 4.426 4.426 4.426
angles (deg): 60.00 60.00 60.00
Sites, in units of the cell vectors:
Be1 0.000 0.000 0.000
Cd1 0.750 0.750 0.750
In1 0.250 0.250 0.250
Ni1 0.500 0.500 0.500

=====

Material: BeCd2Ir
Method: DFT, PBE
State: relaxed

* volume: 15.84 A^3/atom
* DFT total energy: -13.4 eV per cell

a b c (Å): 4.475 4.475 4.475
angles (deg): 60.00 60.00 60.00
Sites, in units of the cell vectors:
Be1 0.000 0.000 0.000
Cd1 0.500 0.500 0.500
Cd2 0.750 0.750 0.750
Ir1 0.250 0.250 0.250

=====

Material: BeCdIr
Method: DFT, PBE
State: relaxed

* ΔE to the lowest computed polymorph: 0.00 eV/f.u.
* volume: 17.58 A^3/atom
* DFT total energy: -12.1 eV per cell

a b c (Å): 4.209 4.209 4.209
angles (deg): 60.00 60.00 60.00
Sites, in units of the cell vectors:
Be1 0.000 0.000 0.000
Cd1 0.500 0.500 0.500
Ir1 0.250 0.250 0.250

=====

Material: TaBeCdIr
Method: DFT, PBE
State: relaxed

* ΔE to the lowest computed polymorph: 0.00 eV/f.u.
* volume: 15.40 A^3/atom
* DFT total energy: -25.5 eV per cell

a b c (Å): 4.433 4.433 4.433
angles (deg): 60.00 60.00 60.00
Sites, in units of the cell vectors:
Ta1 0.000 0.000 0.000
Be1 0.750 0.750 0.750
Cd1 0.500 0.500 0.500
Ir1 0.250 0.250 0.250

=====

Material: TaBeCdIr
Method: DFT, PBE
State: relaxed

* ΔE to the lowest computed polymorph: 0.23 eV/f.u.
* volume: 15.46 A^3/atom
* DFT total energy: -25.2 eV per cell

a b c (Å): 4.438 4.438 4.438
angles (deg): 60.00 60.00 60.00
Sites, in units of the cell vectors:
Ta1 0.000 0.000 0.000
Be1 0.500 0.500 0.500
Cd1 0.750 0.750 0.750
Ir1 0.250 0.250 0.250

=====

Material: TaBeCdIr
Method: DFT, PBE
State: relaxed

* ΔE to the lowest computed polymorph: 1.41 eV/f.u.
* volume: 15.16 A^3/atom
* DFT total energy: -24.0 eV per cell

a b c (Å): 4.410 4.410 4.410
angles (deg): 60.00 60.00 60.00
Sites, in units of the cell vectors:
Ta1 0.000 0.000 0.000
Be1 0.750 0.750 0.750
Cd1 0.250 0.250 0.250
Ir1 0.500 0.500 0.500